This record from the Alexandria database describes a crystal of NaHg3Te relaxed with PBEsol. The functional is SCAN.

```
NaHg3Te
1.0
5.797 0.000 0.000
0.000 5.797 0.000
0.000 0.000 5.797
Te Na Hg
1 1 3
Cartesian
0.000 0.000 0.000
2.899 2.899 2.899
2.899 0.000 0.000
0.000 0.000 2.899
0.000 2.899 0.000
```

Output
Formation energy without anion corrections (meV per atom): 158
DOS(E_F) (states/eV/atom): 0.735

***

This record from the Alexandria database describes a crystal of Cu3Au5 relaxed with PBEsol. The functional is SCAN.

```
Cu3Au5
1.0
-0.605 -3.325 3.722
-0.531 -6.829 -2.792
6.600 -2.391 2.331
Au Cu
10 6
Cartesian
4.205 -4.609 3.357
0.661 -3.312 0.544
2.883 -5.441 0.700
0.569 -5.397 -1.334
1.259 -7.937 -0.095
4.045 -8.231 0.094
4.803 -9.233 2.717
4.895 -7.148 4.595
1.419 -4.314 3.167
2.581 -7.104 2.561
2.352 -9.681 1.919
0.400 -6.026 1.472
5.064 -6.519 1.790
-0.454 -2.494 2.791
-0.151 -0.831 0.930
3.112 -2.865 1.342
```

Output
E above lowest polymorph (eV per atom): 0.086
DOS(E_F) (states/eV/atom): 0.287
Energy of formation from the pure elements (meV/atom): 24

***

This record from the Alexandria database describes a crystal of TaZn3Pd relaxed with PBEsol. The functional is SCAN.

```
TaZn3Pd
1.0
-2.105 -3.851 -2.052
2.656 -2.939 2.789
-3.462 0.087 3.388
Ta Zn Pd
1 3 1
Cartesian
0.000 0.000 0.000
-1.053 -1.925 -1.026
-1.731 0.043 1.694
1.328 -1.469 1.395
-1.455 -3.351 2.063
```

Output
DOS(E_F) (states/eV/atom): 0.805
Energy of formation from the pure elements (meV/atom): 1385

***

This record from the Alexandria database describes a crystal of CuW2Au relaxed with PBEsol. The functional is SCAN.

```
CuW2Au
1.0
2.691 0.000 0.038
0.000 4.131 0.000
-0.324 0.000 5.344
W Cu Au
2 1 1
Cartesian
-0.027 0.000 1.423
2.394 0.000 3.960
1.184 2.066 2.691
1.345 2.066 0.019
```

Output
E above lowest polymorph (eV per atom): 0.166
DOS(E_F) (states/eV/atom): 0.711
Energy of formation from the pure elements (meV/atom): 383

***

This record from the Alexandria database describes a crystal of SnTe2MoC relaxed with PBEsol. The functional is SCAN.

```
SnTe2MoC
1.0
-2.938 -2.181 -1.716
3.481 -2.882 -2.297
0.016 -3.148 3.974
Mo C Sn Te
1 1 1 2
Cartesian
-1.469 -1.090 -0.858
0.000 0.000 0.000
0.279 -4.105 -0.020
1.740 -1.441 -1.148
0.008 -1.574 1.987
```

Output
Formation energy without anion corrections (meV per atom): 973
DOS(E_F) (states/eV/atom): 0.573

***

This record from the Alexandria database describes a crystal of CuSb6S2O16 relaxed with PBEsol. The functional is SCAN.

```
CuSb6S2O16
1.0
-4.978 -0.563 2.382
2.093 -6.717 -3.082
4.539 -0.961 7.940
Sb S O Cu
6 2 16 1
Cartesian
1.146 -4.630 6.294
3.776 -6.709 4.557
0.508 -3.610 0.946
0.838 -6.470 3.086
0.816 -1.770 4.154
-2.122 -1.532 2.683
-1.993 -5.869 0.770
3.647 -2.371 6.470
-1.178 -5.060 1.762
2.832 -3.181 5.478
-1.662 -7.319 1.012
2.629 -7.450 3.060
1.921 -5.718 4.762
-0.975 -0.791 4.180
0.048 -3.431 5.037
3.218 -2.742 7.836
0.097 -3.169 8.627
-1.564 -5.498 -0.596
-2.681 -3.136 3.759
4.335 -5.105 3.481
3.316 -0.921 6.228
1.606 -4.809 2.203
-0.267 -2.523 2.478
1.557 -5.072 -1.387
3.316 -3.839 2.429
```

Output
Formation energy without anion corrections (meV per atom): -1434

***

This record from the Alexandria database describes a crystal of Sb2MoRh relaxed with PBEsol. The functional is SCAN.

```
Sb2MoRh
1.0
-3.043 2.595 -2.491
-4.501 -1.346 -0.360
-3.372 2.440 2.207
Sb Rh Mo
2 1 1
Cartesian
0.000 0.000 0.000
-8.187 2.767 -0.483
-2.729 0.922 -0.161
-5.458 1.845 -0.322
```

Output
Formation energy without anion corrections (meV per atom): 581
DOS(E_F) (states/eV/atom): 0.571

***

This record from the Alexandria database describes a crystal of RbBa2NbCu relaxed with PBEsol. The functional is SCAN.

```
RbBa2NbCu
1.0
-1.942 4.406 -1.585
-1.383 -2.609 -5.559
-5.648 -1.697 2.202
Ba Cu Nb Rb
2 1 1 1
Cartesian
-0.692 -1.305 -2.780
-2.824 -0.849 1.101
0.000 0.000 0.000
-0.971 2.203 -0.792
-4.486 0.050 -2.471
```

Output
DOS(E_F) (states/eV/atom): 0.981
Energy of formation from the pure elements (meV/atom): 653

***

This record from the Alexandria database describes a crystal of Re2PtCl relaxed with PBEsol. The functional is SCAN.

```
Re2PtCl
1.0
2.730 0.000 0.000
-1.365 2.419 0.000
0.000 0.000 9.141
Re Pt Cl
2 1 1
Cartesian
0.000 0.000 6.802
0.000 0.000 2.339
1.365 0.000 0.000
1.365 0.000 4.571
```

Output
E above lowest polymorph (eV per atom): 0.305
Formation energy without anion corrections (meV per atom): 831
DOS(E_F) (states/eV/atom): 0.991

***

This record from the Alexandria database describes a crystal of BaFeHg relaxed with PBEsol. The functional is SCAN.

```
BaFeHg
1.0
4.888 0.000 0.000
2.444 4.233 0.000
2.444 1.411 3.991
Ba Hg Fe
1 1 1
Cartesian
4.888 2.822 1.996
0.000 0.000 0.000
2.444 1.411 0.998
```

Output
E above lowest polymorph (eV per atom): 0.258
DOS(E_F) (states/eV/atom): 1.473
Energy of formation from the pure elements (meV/atom): 391

***

This record from the Alexandria database describes a crystal of SiRhBr2 relaxed with PBEsol. The functional is SCAN.

```
SiRhBr2
1.0
4.673 0.000 0.000
2.336 4.047 0.000
2.336 1.349 3.815
Si Br Rh
1 2 1
Cartesian
7.009 4.047 2.861
2.336 1.349 0.954
0.000 0.000 0.000
4.673 2.698 1.908
```

Output
E above lowest polymorph (eV per atom): 0.325
Formation energy without anion corrections (meV per atom): 825
DOS(E_F) (states/eV/atom): 0.710

***

This record from the Alexandria database describes a crystal of Mn4CdSe relaxed with PBEsol. The functional is SCAN.

```
Mn4CdSe
1.0
-1.568 -3.709 2.727
3.201 -3.032 2.053
0.671 0.069 4.816
Mn Se Cd
4 1 1
Cartesian
1.200 -2.463 6.013
2.471 -4.021 4.624
0.075 -4.361 4.963
0.863 -2.498 3.593
1.728 -5.004 7.197
0.000 0.000 0.000
```

Output
Formation energy without anion corrections (meV per atom): 445
DOS(E_F) (states/eV/atom): 0.896

***

This record from the Alexandria database describes a crystal of HgTe2O6 relaxed with PBEsol. The functional is SCAN.

```
HgTe2O6
1.0
-3.381 3.367 4.095
-2.281 -7.208 -0.185
7.924 -2.733 8.791
Te O Hg
8 24 4
Cartesian
-1.976 -0.356 3.560
1.154 -4.620 10.518
1.108 -1.953 2.182
1.510 -0.179 8.864
3.600 -2.567 8.137
0.752 -6.394 3.836
-1.338 -4.006 4.564
4.238 -6.217 9.140
0.140 -5.773 8.670
-0.778 0.279 4.873
-2.595 -2.071 3.894
6.141 -2.204 7.697
2.572 -1.001 7.348
0.208 -2.882 4.443
0.038 -0.319 7.727
5.134 -2.161 10.952
-0.522 -0.782 2.336
5.586 -7.138 7.941
2.385 -1.529 9.851
-0.310 -5.572 5.352
-1.382 -3.382 6.477
-2.872 -4.413 1.748
-0.123 -5.044 2.850
2.784 -5.792 10.365
-3.324 0.565 4.759
3.644 -3.192 6.223
2.122 -0.801 4.031
2.224 -6.254 4.974
3.040 -6.853 7.828
-3.879 -4.369 5.003
4.857 -4.503 8.806
2.054 -3.691 8.258
0.614 -1.487 5.986
-1.485 -5.861 0.907
3.747 -0.713 11.794
1.648 -5.086 6.714
```

Output
Formation energy without anion corrections (meV per atom): -813
DOS(E_F) (states/eV/atom): 0.000

***

This record from the Alexandria database describes a crystal of Y2TaSb relaxed with PBEsol. The functional is SCAN.

```
Y2TaSb
1.0
3.254 0.000 0.000
0.000 5.427 0.052
0.000 -2.195 5.320
Y Ta Sb
2 1 1
Cartesian
1.627 -1.097 2.660
0.000 0.000 0.000
0.000 1.616 2.686
1.627 2.713 0.026
```

Output
Formation energy without anion corrections (meV per atom): 71
DOS(E_F) (states/eV/atom): 0.925

***

This record from the Alexandria database describes a crystal of Zn3FeRh relaxed with PBEsol. The functional is SCAN.

```
Zn3FeRh
1.0
-3.988 -2.188 -0.642
1.849 -3.860 1.669
-1.334 1.190 4.231
Fe Zn Rh
1 3 1
Cartesian
-1.737 -2.429 2.629
-1.994 -1.094 -0.321
0.924 -1.930 0.834
-0.667 0.595 2.116
0.000 0.000 0.000
```

Output
DOS(E_F) (states/eV/atom): 1.154
Energy of formation from the pure elements (meV/atom): 671

***

This record from the Alexandria database describes a crystal of BeCr2B2 relaxed with PBEsol. The functional is SCAN.

```
BeCr2B2
1.0
2.904 0.000 0.000
0.000 5.270 0.000
0.000 0.000 5.270
Be Cr B
2 4 4
Cartesian
0.000 2.635 2.635
0.000 0.000 0.000
1.452 4.343 1.708
1.452 3.561 4.343
1.452 0.927 3.561
1.452 1.708 0.927
0.000 2.016 4.651
0.000 3.253 0.618
0.000 4.651 3.253
0.000 0.618 2.016
```

Output
DOS(E_F) (states/eV/atom): 0.299
Energy of formation from the pure elements (meV/atom): -459

***

This record from the Alexandria database describes a crystal of MnRuN2O relaxed with PBEsol. The functional is SCAN.

```
MnRuN2O
1.0
3.551 0.000 0.000
0.000 3.637 0.000
0.000 0.000 3.637
O N Mn Ru
1 2 1 1
Cartesian
1.775 0.000 0.000
0.000 0.000 1.819
0.000 1.819 0.000
0.000 0.000 0.000
1.775 1.819 1.819
```

Output
Formation energy without anion corrections (meV per atom): 511
DOS(E_F) (states/eV/atom): 0.531

***

This record from the Alexandria database describes a crystal of Li3Co2Si2O8 relaxed with PBEsol. The functional is SCAN.

```
Li3Co2Si2O8
1.0
-3.315 3.246 -1.716
-0.080 -3.024 -5.565
-7.713 -6.170 3.464
Si O Li Co
4 16 6 4
Cartesian
-7.116 -2.646 -1.972
-7.989 -7.775 -2.844
-4.053 -1.687 0.950
-3.262 0.361 -3.847
-5.614 -2.055 -2.343
-3.129 -2.316 -0.280
-7.319 -4.089 -2.720
-5.057 -5.867 -3.930
-4.957 -0.505 0.270
-3.472 -1.117 -4.510
-1.121 0.227 -0.126
-7.294 -2.892 -0.366
-9.472 -5.194 -0.710
-3.431 0.206 -2.225
-3.216 -3.986 -3.436
-8.891 -6.551 -3.446
-7.027 -5.356 1.452
-4.948 -4.817 -0.774
-1.095 -1.850 -2.725
-7.030 -7.097 -1.668
-2.117 -0.918 -1.292
-5.211 -1.927 -4.320
-4.127 -3.290 -1.772
-6.013 -5.499 -2.313
-7.983 -6.363 -0.017
-9.026 -3.470 0.249
-8.980 -4.925 -2.564
-5.084 -0.360 -1.571
-6.042 -3.933 0.570
-2.229 -2.484 -4.172
```

Output
E above lowest polymorph (eV per atom): 0.001
Formation energy without anion corrections (meV per atom): -2276
DOS(E_F) (states/eV/atom): 0.393

***

This record from the Alexandria database describes a crystal of Be4CoTe relaxed with PBEsol. The functional is SCAN.

```
Be4CoTe
1.0
-1.259 -4.242 -0.781
-0.655 -2.818 3.438
-4.160 -1.338 1.047
Be Te Co
4 1 1
Cartesian
-4.324 -3.828 1.910
-2.616 -4.549 3.076
-2.910 -5.243 1.020
-2.297 -3.176 1.400
0.000 0.000 0.000
-4.555 -6.299 2.777
```

Output
Formation energy without anion corrections (meV per atom): 306
DOS(E_F) (states/eV/atom): 0.458

***

This record from the Alexandria database describes a crystal of AsSOF9 relaxed with PBEsol. The functional is SCAN.

```
AsSOF9
1.0
7.198 0.000 0.000
0.000 8.673 0.000
0.000 0.000 10.741
F As O S
36 4 4 4
Cartesian
1.800 4.377 5.564
0.656 8.281 3.235
4.256 3.944 2.135
0.557 1.702 1.434
3.048 2.588 4.313
5.399 4.296 5.177
3.042 2.635 6.805
0.552 2.588 4.313
1.800 5.984 10.187
5.399 1.648 5.924
1.800 3.478 0.223
6.641 6.971 9.306
6.641 6.039 3.936
0.656 4.729 8.605
1.800 8.633 0.194
6.542 0.392 7.506
5.399 0.041 10.547
6.647 6.085 6.427
6.647 6.924 1.057
4.156 6.039 3.936
5.399 5.195 10.518
6.542 3.944 2.135
0.552 1.749 9.683
5.399 2.689 0.553
5.399 7.815 5.148
4.151 6.085 6.427
4.156 6.971 9.306
4.151 6.924 1.057
4.256 0.392 7.506
3.048 1.749 9.683
1.800 7.026 4.817
2.943 4.729 8.605
2.943 8.281 3.235
1.800 0.858 5.593
3.042 1.702 1.434
0.557 2.635 6.805
5.399 6.047 5.201
5.399 6.963 10.571
1.800 2.627 5.540
1.800 1.710 0.169
5.399 1.903 2.889
5.399 2.434 8.259
1.800 6.770 7.852
1.800 6.240 2.482
1.800 7.318 3.351
5.399 1.355 7.390
1.800 5.691 8.721
5.399 2.982 2.019
```

Output
Formation energy without anion corrections (meV per atom): -1922
DOS(E_F) (states/eV/atom): 0.000

***

Final energy values, unit eV per cell, following the record order: -245.2; -782.4; -133.0; -222.2; -150.5; -393.6; -140.9; -144.9; -217.0; -124.7; -79.4; -120.8; -749.5; -159.2; -89.1; -116.5; -75.3; -291.6; -70.1; -363.9.
Spin magnetization values, unit Bohr magnetons per cell, following the record order: 0.0; 0.0; 0.0; 0.0; 1.7; 1.0; 1.4; 3.2; 0.0; 2.8; 0.0; 10.2; 0.0; 0.0; 3.4; 4.0; 0.7; 14.0; 0.0; 0.0.